# Mo13W2

An optimized crystal structure of Mo13W2 (GGA-PBE, Alexandria).

a b c (Å): 6.8719 6.9775 7.0216
angles (deg): 92.46 117.74 119.06
Atoms (fractional coordinates):
Mo  0.0000  0.0000  0.0000
Mo  0.1441  0.4187  0.5816
Mo  0.1866  0.0630  0.7090
Mo  0.2236  0.8200  0.3317
Mo  0.3463  0.4801  0.0650
Mo  0.3968  0.2766  0.4475
Mo  0.4774  0.8586  0.8386
Mo  0.5226  0.1414  0.1614
Mo  0.6032  0.7234  0.5525
Mo  0.6537  0.5199  0.9350
Mo  0.7764  0.1800  0.6683
Mo  0.8134  0.9370  0.2910
Mo  0.8559  0.5813  0.4184
W  0.0326  0.6536  0.8608
W  0.9674  0.3464  0.1392



# Mo5W2

An optimized crystal structure of Mo5W2 (GGA-PBE, Alexandria).

a b c (Å): 7.7801 4.4751 6.9102
angles (deg): 90.00 112.09 90.00
Atoms (fractional coordinates):
Mo  0.0000  0.0000  0.0000
Mo  0.1429  0.0000  0.4285
Mo  0.2142  0.5000  0.1426
Mo  0.2858  0.0000  0.8574
Mo  0.3571  0.5000  0.5715
Mo  0.5000  0.5000  0.0000
Mo  0.6429  0.5000  0.4285
Mo  0.7142  0.0000  0.1426
Mo  0.7858  0.5000  0.8574
Mo  0.8571  0.0000  0.5715
W  0.0714  0.5000  0.7142
W  0.4286  0.0000  0.2858
W  0.5714  0.0000  0.7142
W  0.9286  0.5000  0.2858

Computed properties:
**Energy relative to the lowest polymorph listed for this composition**: 0.000 eV/atom



# Mo4W3

An optimized crystal structure of Mo4W3 (GGA-PBE, Alexandria).

a b c (Å): 5.1710 5.1710 5.0398
angles (deg): 90.00 90.00 120.00
Atoms (fractional coordinates):
Mo  0.0000  0.0000  0.2396
Mo  0.0000  0.0000  0.7604
Mo  0.3333  0.6667  0.0000
Mo  0.6667  0.3333  0.0000
W  0.0000  0.5000  0.5000
W  0.5000  0.0000  0.5000
W  0.5000  0.5000  0.5000

Computed properties:
**Energy relative to the lowest polymorph listed for this composition**: 0.285 eV/atom



# Mo2W

An optimized crystal structure of Mo2W (GGA-PBE, Alexandria).

a b c (Å): 6.4692 6.4692 4.2269
angles (deg): 90.00 90.00 120.00
Atoms (fractional coordinates):
Mo  0.0000  0.2453  0.0000
Mo  0.0000  0.5534  0.5000
Mo  0.2453  0.0000  0.0000
Mo  0.4466  0.4466  0.5000
Mo  0.5534  0.0000  0.5000
Mo  0.7547  0.7547  0.0000
W  0.0000  0.0000  0.5000
W  0.3333  0.6667  0.0000
W  0.6667  0.3333  0.0000

Computed properties:
**Energy relative to the lowest polymorph listed for this composition**: 0.621 eV/atom



# MoW2

An optimized crystal structure of MoW2 (GGA-PBE, Alexandria).

a b c (Å): 4.2543 4.2543 3.1294
angles (deg): 90.00 90.00 90.00
Atoms (fractional coordinates):
Mo  0.0000  0.0000  0.0000
W  0.0000  0.5000  0.5000
W  0.5000  0.0000  0.5000

Computed properties:
**Energy relative to the lowest polymorph listed for this composition**: 1.122 eV/atom



# Mo3W5

An optimized crystal structure of Mo3W5 (GGA-PBE, Alexandria).

a b c (Å): 6.3560 6.3563 6.3563
angles (deg): 90.00 90.00 90.00
Atoms (fractional coordinates):
Mo  0.0000  0.0000  0.0000
Mo  0.0000  0.9998  0.4996
Mo  0.0000  0.4996  0.9998
Mo  0.2497  0.2497  0.2497
Mo  0.5000  0.4995  0.4995
Mo  0.7503  0.2497  0.2497
W  0.0000  0.4993  0.4993
W  0.2496  0.2497  0.7497
W  0.2496  0.7497  0.2497
W  0.2496  0.7497  0.7497
W  0.5000  0.0000  0.0000
W  0.5000  0.0001  0.4993
W  0.5000  0.4993  0.0001
W  0.7504  0.2497  0.7497
W  0.7504  0.7497  0.2497
W  0.7504  0.7497  0.7497

Computed properties:
**Energy relative to the lowest polymorph listed for this composition**: 0.004 eV/atom



# MoW3

An optimized crystal structure of MoW3 (GGA-PBE, Alexandria).

a b c (Å): 6.3755 8.9746 4.4992
angles (deg): 90.00 90.00 90.00
Atoms (fractional coordinates):
Mo  0.0000  0.1253  0.2500
Mo  0.0000  0.8747  0.7500
Mo  0.5000  0.3747  0.7500
Mo  0.5000  0.6253  0.2500
W  0.0000  0.3754  0.7500
W  0.0000  0.6246  0.2500
W  0.2496  0.1250  0.7500
W  0.2504  0.3750  0.2500
W  0.2504  0.6250  0.7500
W  0.2496  0.8750  0.2500
W  0.5000  0.1246  0.2500
W  0.5000  0.8754  0.7500
W  0.7504  0.1250  0.7500
W  0.7496  0.3750  0.2500
W  0.7496  0.6250  0.7500
W  0.7504  0.8750  0.2500

Computed properties:
**Energy relative to the lowest polymorph listed for this composition**: 0.011 eV/atom



# MoW

An optimized crystal structure of MoW (GGA-PBE, Alexandria).

a b c (Å): 8.0381 8.0381 8.0381
angles (deg): 90.00 90.00 90.00
Atoms (fractional coordinates):
Mo  0.1749  0.1749  0.1749
Mo  0.1749  0.8251  0.8251
Mo  0.3251  0.3251  0.6749
Mo  0.3251  0.6749  0.3251
Mo  0.6749  0.3251  0.3251
Mo  0.6749  0.6749  0.6749
Mo  0.8251  0.1749  0.8251
Mo  0.8251  0.8251  0.1749
W  0.1260  0.1260  0.8740
W  0.1260  0.8740  0.1260
W  0.3740  0.3740  0.3740
W  0.3740  0.6260  0.6260
W  0.6260  0.3740  0.6260
W  0.6260  0.6260  0.3740
W  0.8740  0.1260  0.1260
W  0.8740  0.8740  0.8740

Computed properties:
**Energy relative to the lowest polymorph listed for this composition**: 2.449 eV/atom



no.,magnetic moment (μB per formula unit),E_form (eV/f.u.),uncorrected energy (eV/atom)
1,0.000,3.75,-10.86
2,0.000,-0.11,-11.45
3,0.000,1.91,-11.47
4,0.000,1.81,-10.94
5,0.000,3.32,-11.14
6,0.000,-0.09,-12.17
7,0.000,-0.02,-12.43
8,0.788,4.86,-9.46